[1]
The following is a DFT calculation (GGA-PBE) of a relaxed RuPt2PbO8 crystal.

Cell: 5.608 5.608 6.174 Å, 90.00 90.00 120.00°
Atoms (fractional coordinates):
Pb (0.000, 0.000, 0.500)
O (0.667, 0.333, 0.358)
Pt (0.333, 0.667, 0.945)
O (0.289, 0.935, 0.141)
O (0.935, 0.646, 0.859)
O (0.333, 0.667, 0.642)
Ru (0.000, 0.000, 0.000)
O (0.354, 0.289, 0.859)
Pt (0.667, 0.333, 0.055)
O (0.646, 0.711, 0.141)
O (0.065, 0.354, 0.141)
O (0.711, 0.065, 0.859)

=====

[2]
The following is a DFT calculation (GGA-PBE) of a relaxed PtPbS2O8 crystal.

Cell: 5.782 5.782 8.075 Å, 115.27 115.27 51.85°
Atoms (fractional coordinates):
O (0.254, 0.740, 0.805)
O (0.740, 0.254, 0.805)
O (0.746, 0.260, 0.195)
O (0.635, 0.635, 0.481)
O (0.260, 0.746, 0.195)
Pb (0.000, 0.000, 0.500)
S (0.601, 0.601, 0.282)
O (0.726, 0.726, 0.246)
O (0.365, 0.365, 0.519)
S (0.399, 0.399, 0.718)
O (0.274, 0.274, 0.754)
Pt (0.000, 0.000, 0.000)

=====

[3]
The following is a DFT calculation (GGA-PBE) of a relaxed SbPtPb2O6 crystal.

Cell: 4.970 5.503 6.207 Å, 116.32 105.56 90.00°
Atoms (fractional coordinates):
O (0.792, 0.326, 0.155)
O (0.208, 0.674, 0.845)
Pt (0.500, 0.000, 0.000)
O (0.270, 0.672, 0.343)
O (0.208, 0.170, 0.845)
Sb (0.000, 0.500, 0.000)
Pb (0.231, 0.236, 0.472)
O (0.792, 0.830, 0.155)
Pb (0.769, 0.764, 0.528)
O (0.730, 0.328, 0.657)

=====

[4]
The following is a DFT calculation (GGA-PBE) of a relaxed SbPtPbO6 crystal.

Cell: 5.349 5.349 5.129 Å, 90.00 90.00 60.00°
Atoms (fractional coordinates):
O (0.002, 0.371, 0.282)
O (0.002, 0.627, 0.718)
Pt (0.333, 0.333, 0.500)
O (0.627, 0.371, 0.718)
O (0.627, 0.002, 0.282)
Pb (0.000, 0.000, 0.000)
Sb (0.667, 0.667, 0.500)
O (0.371, 0.002, 0.718)
O (0.371, 0.627, 0.282)

=====

[5]
The following is a DFT calculation (GGA-PBE) of a relaxed ScPtPb2O6 crystal.

Cell: 5.727 5.741 8.102 Å, 90.00 90.03 90.00°
Atoms (fractional coordinates):
Pb (0.006, 0.970, 0.249)
O (0.224, 0.212, 0.461)
O (0.724, 0.288, 0.961)
O (0.927, 0.517, 0.244)
O (0.573, 0.017, 0.256)
O (0.291, 0.722, 0.463)
O (0.073, 0.483, 0.756)
O (0.209, 0.222, 0.037)
Pt (0.500, 0.000, 0.500)
O (0.709, 0.278, 0.537)
Pb (0.994, 0.030, 0.751)
Sc (0.000, 0.500, 0.500)
O (0.791, 0.778, 0.963)
Pb (0.494, 0.470, 0.251)
O (0.776, 0.788, 0.539)
Sc (0.500, 0.000, 0.000)
O (0.427, 0.983, 0.744)
Pt (0.000, 0.500, 0.000)
O (0.276, 0.712, 0.039)
Pb (0.506, 0.530, 0.749)

=====

[6]
The following is a DFT calculation (GGA-PBE) of a relaxed Sc4PtPbO crystal.

Cell: 6.120 6.132 7.927 Å, 90.00 112.71 90.00°
Atoms (fractional coordinates):
Sc (0.409, 0.750, 0.818)
Sc (0.000, 0.000, 0.500)
O (0.744, 0.250, 0.487)
Sc (0.060, 0.750, 0.120)
Sc (0.940, 0.250, 0.880)
Sc (0.500, 0.500, 0.500)
Pb (0.394, 0.250, 0.788)
Sc (0.000, 0.500, 0.500)
O (0.256, 0.750, 0.513)
Pt (0.879, 0.750, 0.758)
Pt (0.121, 0.250, 0.242)
Sc (0.591, 0.250, 0.182)
Sc (0.500, 0.000, 0.500)
Pb (0.606, 0.750, 0.212)

=====

[7]
The following is a DFT calculation (GGA-PBE) of a relaxed PtPbSe2O8 crystal.

Cell: 6.031 6.031 8.003 Å, 114.37 114.37 52.51°
Atoms (fractional coordinates):
O (0.246, 0.756, 0.193)
O (0.756, 0.246, 0.193)
Se (0.388, 0.388, 0.714)
O (0.255, 0.255, 0.762)
Pt (0.000, 0.000, 0.000)
Pb (0.000, 0.000, 0.500)
O (0.353, 0.353, 0.489)
O (0.754, 0.244, 0.807)
O (0.647, 0.647, 0.511)
Se (0.612, 0.612, 0.286)
O (0.745, 0.745, 0.238)
O (0.244, 0.754, 0.807)

=====

[8]
The following is a DFT calculation (GGA-PBE) of a relaxed Sm2PtPbO5 crystal.

Cell: 5.912 6.707 6.707 Å, 90.00 90.00 90.00°
Atoms (fractional coordinates):
O (0.257, 0.140, 0.640)
O (0.743, 0.360, 0.140)
Sm (0.500, 0.174, 0.326)
Pb (0.000, 0.500, 0.500)
O (0.257, 0.640, 0.860)
O (0.257, 0.360, 0.140)
Pt (0.000, 0.500, 0.000)
Sm (0.500, 0.674, 0.174)
Sm (0.500, 0.826, 0.674)
O (0.743, 0.860, 0.360)
Sm (0.500, 0.326, 0.826)
O (0.500, 0.500, 0.500)
O (0.500, 0.000, 0.000)
Pt (0.000, 0.000, 0.500)
O (0.743, 0.140, 0.640)
Pb (0.000, 0.000, 0.000)
O (0.743, 0.640, 0.860)
O (0.257, 0.860, 0.360)

=====

[9]
The following is a DFT calculation (GGA-PBE) of a relaxed SnPtPb2O6 crystal.

Cell: 5.822 5.758 8.155 Å, 90.00 90.14 90.00°
Atoms (fractional coordinates):
O (0.724, 0.282, 0.952)
O (0.224, 0.218, 0.452)
Pb (0.008, 0.974, 0.246)
O (0.208, 0.214, 0.038)
Pb (0.508, 0.526, 0.746)
O (0.292, 0.714, 0.462)
O (0.708, 0.286, 0.538)
Pt (0.000, 0.500, 0.000)
Pb (0.992, 0.026, 0.754)
O (0.579, 0.007, 0.253)
Sn (0.000, 0.500, 0.500)
Pt (0.500, 0.000, 0.500)
Sn (0.500, 0.000, 0.000)
O (0.776, 0.782, 0.548)
O (0.079, 0.493, 0.753)
O (0.921, 0.507, 0.247)
Pb (0.492, 0.474, 0.254)
O (0.792, 0.786, 0.962)
O (0.276, 0.718, 0.048)
O (0.421, 0.993, 0.747)

=====

[10]
The following is a DFT calculation (GGA-PBE) of a relaxed SnPt2PbO crystal.

Cell: 5.150 4.067 5.150 Å, 90.00 90.00 90.00°
Atoms (fractional coordinates):
O (0.000, 0.500, 0.000)
Sn (0.000, 0.000, 0.000)
Pt (0.500, 0.000, 0.000)
Pb (0.500, 0.500, 0.500)
Pt (0.000, 0.000, 0.500)

=====

[11]
The following is a DFT calculation (GGA-PBE) of a relaxed Sr6PtPb2O crystal.

Cell: 7.784 7.784 11.004 Å, 90.00 90.00 90.00°
Atoms (fractional coordinates):
Sr (0.263, 0.013, 0.500)
Sr (0.000, 0.750, 0.763)
Sr (0.737, 0.486, 0.500)
Sr (0.000, 0.750, 0.237)
Sr (0.763, 0.987, 0.000)
Pb (0.000, 0.250, 0.250)
Pt (0.000, 0.749, 0.500)
Sr (0.763, 0.514, 0.000)
Sr (0.500, 0.250, 0.737)
O (0.000, 0.751, 0.000)
Sr (0.500, 0.250, 0.263)
Pb (0.000, 0.250, 0.750)
Sr (0.737, 0.013, 0.500)
Pb (0.500, 0.750, 0.250)
O (0.500, 0.249, 0.500)
Pb (0.500, 0.750, 0.750)
Pt (0.500, 0.251, 0.000)
Sr (0.237, 0.514, 0.000)
Sr (0.263, 0.486, 0.500)
Sr (0.237, 0.987, 0.000)

=====

[12]
The following is a DFT calculation (GGA-PBE) of a relaxed SrPtPbO4 crystal.

Cell: 6.434 7.220 6.607 Å, 117.23 90.00 116.46°
Atoms (fractional coordinates):
Sr (0.169, 0.338, 0.919)
Pt (0.500, 0.500, 0.500)
O (0.709, 0.417, 0.272)
O (0.677, 0.921, 0.211)
O (0.291, 0.583, 0.728)
O (0.245, 0.921, 0.211)
O (0.709, 0.417, 0.645)
Pb (0.500, 0.000, 0.000)
O (0.291, 0.583, 0.355)
Pb (0.500, 0.000, 0.500)
O (0.755, 0.079, 0.789)
Pt (0.000, 0.500, 0.500)
O (0.323, 0.079, 0.789)
Sr (0.831, 0.662, 0.081)

=====

[13]
The following is a DFT calculation (GGA-PBE) of a relaxed SrPt2PbO8 crystal.

Cell: 5.728 5.728 6.545 Å, 90.00 90.00 120.00°
Atoms (fractional coordinates):
O (0.944, 0.596, 0.848)
O (0.056, 0.404, 0.152)
Pb (0.000, 0.000, 0.500)
O (0.596, 0.652, 0.152)
O (0.667, 0.333, 0.342)
O (0.333, 0.667, 0.658)
O (0.652, 0.056, 0.848)
Pt (0.667, 0.333, 0.049)
Sr (0.000, 0.000, 0.000)
O (0.404, 0.348, 0.848)
Pt (0.333, 0.667, 0.951)
O (0.348, 0.944, 0.152)

=====

[14]
The following is a DFT calculation (GGA-PBE) of a relaxed TaPtPb2O6 crystal.

Cell: 5.789 5.789 10.732 Å, 74.35 74.35 60.00°
Atoms (fractional coordinates):
Pt (0.500, 0.500, 0.500)
O (0.131, 0.604, 0.661)
O (0.719, 0.200, 0.880)
O (0.281, 0.800, 0.120)
Pb (0.726, 0.726, 0.821)
Pt (0.000, 0.000, 0.000)
O (0.800, 0.800, 0.120)
O (0.869, 0.396, 0.339)
O (0.396, 0.396, 0.339)
Ta (0.406, 0.406, 0.783)
O (0.604, 0.604, 0.661)
O (0.396, 0.869, 0.339)
Ta (0.594, 0.594, 0.217)
O (0.200, 0.719, 0.880)
Pb (0.886, 0.886, 0.343)
Pb (0.274, 0.274, 0.179)
O (0.800, 0.281, 0.120)
O (0.604, 0.131, 0.661)
O (0.200, 0.200, 0.880)
Pb (0.114, 0.114, 0.657)

=====

[15]
The following is a DFT calculation (GGA-PBE) of a relaxed TbPtPbO6 crystal.

Cell: 5.571 5.571 9.143 Å, 90.00 90.00 120.00°
Atoms (fractional coordinates):
O (0.034, 0.667, 0.873)
O (0.966, 0.632, 0.373)
O (0.333, 0.966, 0.627)
Tb (0.667, 0.333, 0.750)
Pt (0.333, 0.667, 0.750)
O (0.034, 0.368, 0.627)
Tb (0.333, 0.667, 0.250)
O (0.667, 0.632, 0.127)
Pt (0.667, 0.333, 0.250)
O (0.966, 0.333, 0.127)
Pb (0.000, 0.000, 0.500)
O (0.632, 0.667, 0.627)
O (0.368, 0.034, 0.127)
Pb (0.000, 0.000, 0.000)
O (0.333, 0.368, 0.873)
O (0.632, 0.966, 0.873)
O (0.368, 0.333, 0.373)
O (0.667, 0.034, 0.373)

=====

[16]
The following is a DFT calculation (GGA-PBE) of a relaxed TbPtPb2O6 crystal.

Cell: 5.846 5.916 8.309 Å, 90.00 90.12 90.00°
Atoms (fractional coordinates):
O (0.811, 0.778, 0.956)
Pb (0.508, 0.537, 0.748)
Pb (0.992, 0.037, 0.752)
O (0.088, 0.475, 0.766)
O (0.225, 0.196, 0.454)
O (0.412, 0.975, 0.734)
O (0.912, 0.525, 0.234)
Tb (0.000, 0.500, 0.500)
Pb (0.008, 0.963, 0.248)
O (0.311, 0.722, 0.456)
O (0.588, 0.025, 0.266)
O (0.775, 0.804, 0.546)
Pb (0.492, 0.463, 0.252)
O (0.725, 0.304, 0.954)
O (0.275, 0.696, 0.046)
Pt (0.000, 0.500, 0.000)
O (0.189, 0.222, 0.044)
Tb (0.500, 0.000, 0.000)
O (0.689, 0.278, 0.544)
Pt (0.500, 0.000, 0.500)

=====

[17]
The following is a DFT calculation (GGA-PBE) of a relaxed Tc2PtPbO8 crystal.

Cell: 5.150 5.150 8.540 Å, 72.45 72.45 60.00°
Atoms (fractional coordinates):
O (0.106, 0.760, 0.684)
Tc (0.251, 0.251, 0.246)
O (0.450, 0.106, 0.684)
Pt (0.500, 0.500, 0.500)
O (0.674, 0.674, 0.977)
O (0.550, 0.240, 0.316)
O (0.326, 0.326, 0.023)
Pb (0.000, 0.000, 0.000)
Tc (0.749, 0.749, 0.754)
O (0.760, 0.450, 0.684)
O (0.894, 0.550, 0.316)
O (0.240, 0.894, 0.316)

=====

[18]
The following is a DFT calculation (GGA-PBE) of a relaxed ThPt2PbO8 crystal.

Cell: 6.160 6.160 7.184 Å, 90.00 90.00 120.00°
Atoms (fractional coordinates):
O (0.159, 0.843, 0.715)
Pb (0.000, 0.000, 0.000)
Pt (0.667, 0.333, 0.209)
O (0.667, 0.333, 0.954)
O (0.684, 0.841, 0.715)
Th (0.000, 0.000, 0.500)
O (0.157, 0.316, 0.715)
O (0.316, 0.159, 0.285)
O (0.843, 0.684, 0.285)
O (0.841, 0.157, 0.285)
O (0.333, 0.667, 0.046)
Pt (0.333, 0.667, 0.791)

=====

no.,formation energy from raw total energies (eV per atom),E_tot (eV/atom)
1,-0.189,-5.58
2,-1.138,-5.94
3,-1.061,-5.79
4,-1.006,-5.85
5,-1.468,-6.42
6,-1.339,-7.06
7,-0.635,-5.33
8,-2.171,-7.06
9,-0.989,-5.71
10,0.048,-4.90
11,-0.968,-3.82
12,-1.234,-5.70
13,-0.307,-5.07
14,-1.373,-6.88
15,-1.320,-6.22
16,-1.477,-6.26
17,-0.905,-6.75
18,-0.803,-6.04